No. 1
This record from Alexandria describes an optimized crystal structure of NaSiAs3. The functional is PBE.

Output
Formation energy without anion corrections   352.7 meV per atom
Energy relative to the lowest polymorph listed for this composition   376 meV per atom

abc: 4.8876 4.8876 4.8876
angles: 90.00 90.00 90.00
With the nearest neighbours (Å) after each atom.
Element x y z (fractional)
Na1 0.0000 0.0000 0.0000  12 As 3.46
Si1 0.5000 0.5000 0.5000  6 As 2.44
As1 0.0000 0.5000 0.5000  2 Si 2.44
As2 0.5000 0.0000 0.5000  2 Si 2.44
As3 0.5000 0.5000 0.0000  2 Si 2.44

***

No. 2
This record from Alexandria describes an optimized crystal structure of NaSi3As. The functional is PBE.

Output
Formation energy without anion corrections   1585.7 meV per atom
Energy relative to the lowest polymorph listed for this composition   738 meV per atom

abc: 4.9148 4.9148 4.9148
angles: 90.00 90.00 90.00
With the nearest neighbours (Å) after each atom.
Element x y z (fractional)
Na1 0.0000 0.0000 0.0000  6 Si 2.46
Si1 0.0000 0.0000 0.5000  2 Na 2.46
Si2 0.0000 0.5000 0.0000  2 Na 2.46
Si3 0.5000 0.0000 0.0000  2 Na 2.46
As1 0.5000 0.5000 0.5000  12 Si 3.48

***

No. 3
This record from Alexandria describes an optimized crystal structure of Na3SiAs. The functional is PBE.

Output
Formation energy without anion corrections   403.1 meV per atom
Energy relative to the lowest polymorph listed for this composition   453 meV per atom

abc: 5.5223 5.5223 5.5223
angles: 90.00 90.00 90.00
With the nearest neighbours (Å) after each atom.
Element x y z (fractional)
Na1 0.0000 0.0000 0.5000  2 As 2.76
Na2 0.0000 0.5000 0.0000  2 As 2.76
Na3 0.5000 0.0000 0.0000  2 As 2.76
Si1 0.5000 0.5000 0.5000  12 Na 3.90
As1 0.0000 0.0000 0.0000  6 Na 2.76

***

No. 4
This record from Alexandria describes an optimized crystal structure of NaSiAs3. The functional is PBE.

Output
Formation energy without anion corrections   -23.4 meV per atom
Energy relative to the lowest polymorph listed for this composition   0 meV per atom

abc: 5.2399 6.7882 6.9724
angles: 90.00 95.26 90.00
With the nearest neighbours (Å) after each atom.
Element x y z (fractional)
Na1 0.1712 0.2500 0.4022  5 As 3.07-3.24
Na2 0.8288 0.7500 0.5978  5 As 3.07-3.24
Si1 0.3888 0.7500 0.0336  5 As 2.47-2.56
Si2 0.6112 0.2500 0.9664  5 As 2.47-2.56
As1 0.0819 0.2500 0.9602  1 Si 2.47, 2 As 2.50
As2 0.3166 0.0074 0.7713  1 As 2.50, 2 Si 2.53-2.56
As3 0.3166 0.4926 0.7713  1 As 2.50, 2 Si 2.53-2.56
As4 0.6834 0.5074 0.2287  1 As 2.50, 2 Si 2.53-2.56
As5 0.6834 0.9926 0.2287  1 As 2.50, 2 Si 2.53-2.56
As6 0.9181 0.7500 0.0398  1 Si 2.47, 2 As 2.50

***

No. 5
This record from Alexandria describes an optimized crystal structure of Na2SiAs. The functional is PBE.

Output
Formation energy without anion corrections   174.6 meV per atom
Energy relative to the lowest polymorph listed for this composition   156 meV per atom

abc: 4.9293 4.9293 4.9293
angles: 60.00 60.00 60.00
With the nearest neighbours (Å) after each atom.
Element x y z (fractional)
Na1 0.2500 0.2500 0.2500  4 As 3.02, 4 Si 3.02
Na2 0.7500 0.7500 0.7500  4 Si 3.02, 4 As 3.02
Si1 0.0000 0.0000 0.0000  8 Na 3.02
As1 0.5000 0.5000 0.5000  8 Na 3.02

***

No. 6
This record from Alexandria describes an optimized crystal structure of NaSi2As. The functional is PBE.

Output
Formation energy without anion corrections   258.6 meV per atom

abc: 6.0555 6.0555 6.0555
angles: 103.25 103.25 122.80
With the nearest neighbours (Å) after each atom.
Element x y z (fractional)
Na1 0.0000 0.0000 0.0000  2 As 2.90, 4 Si 3.01
Na2 0.7500 0.2500 0.5000  2 As 2.90, 4 Si 3.01
Si1 0.1725 0.6250 0.0475  2 As 2.53
Si2 0.3750 0.4225 0.5475  2 As 2.53
Si3 0.5775 0.1250 0.9525  2 As 2.53
Si4 0.8750 0.8275 0.4525  2 As 2.53
As1 0.2500 0.7500 0.5000  4 Si 2.53
As2 0.5000 0.5000 0.0000  4 Si 2.53

***

The records above give, respectively, total energy values of -18.93 -14.31 -12.01 -20.81 -12.01 -15.78 eV per formula unit.